1.
A geometry-optimized La2TbSe3 structure, computed with PBE.

The calculation puts the density of states at the Fermi level at 0.60 states/eV/atom. As for the total DFT energy (no corrections): -6.07 eV per atom. The offset from the most stable computed form comes out at 11 meV/atom. The uncorrected formation energy comes out at -1.9148 eV/atom. Its symmetry is No. 71.

abc: 4.2252 6.0122 12.7562
angles: 90.00 90.00 90.00
Atoms (fractional coordinates):
La  0.0000  0.0000  0.1697
La  0.0000  0.0000  0.8303
La  0.5000  0.5000  0.3303
La  0.5000  0.5000  0.6697
Tb  0.0000  0.0000  0.5000
Tb  0.5000  0.5000  0.0000
Se  0.0000  0.5000  0.1573
Se  0.0000  0.5000  0.5000
Se  0.0000  0.5000  0.8427
Se  0.5000  0.0000  0.0000
Se  0.5000  0.0000  0.3427
Se  0.5000  0.0000  0.6573

=====

2.
A geometry-optimized K2AlW structure, computed with PBE.

The calculation puts the density of states at the Fermi level at 1.09 states/eV/atom. As for the total DFT energy (no corrections): -3.54 eV per atom. The energy of formation from the pure elements is 1183 meV per atom. Its symmetry is No. 166.

abc: 2.9771 2.9771 36.9453
angles: 90.00 90.00 120.00
Atoms (fractional coordinates):
K  0.0000  0.0000  0.2499
K  0.0000  0.0000  0.7501
K  0.3333  0.6667  0.4168
K  0.3333  0.6667  0.9166
K  0.6667  0.3333  0.0834
K  0.6667  0.3333  0.5832
Al  0.0000  0.0000  0.0000
Al  0.3333  0.6667  0.6667
Al  0.6667  0.3333  0.3333
W  0.0000  0.0000  0.5000
W  0.3333  0.6667  0.1667
W  0.6667  0.3333  0.8333

=====

Number 2 is which compound?
K2AlW

=====

Which formula does entry 1 have?
La2TbSe3

=====

What is the formula in the first record?
La2TbSe3

=====

total DFT energy (no corrections) of number 1 (La2TbSe3)?
-6.07 eV per atom